Entry from the Alexandria database: crystalline Li2Sc2Ge at its relaxed geometry (PBE-GGA).

extended XYZ file:
```
10
Lattice="-4.969 -0.129 4.962 3.813 -4.595 3.698 2.242 3.745 2.342" Properties=species:S:1:pos:R:3 pbc="T T T"
Li -1.764 0.171 6.654
Sc 1.508 -3.925 4.834
Sc -2.664 -0.798 3.827
Ge -0.578 -2.362 4.330
Li 1.103 -2.102 7.544
Li -0.017 1.123 3.458
Ge 0.000 0.000 0.000
Li 2.850 -1.149 4.348
Sc 0.542 -1.604 2.046
Sc -1.698 -3.120 6.615
```

Summary:
* crystal system: tetragonal
* E_form: 0.069 eV/atom
* ΔE to the lowest computed polymorph: 0.2418 eV/atom

***

Entry from the Alexandria database: crystalline K2BiF8 at its relaxed geometry (PBE-GGA).

extended XYZ file:
```
11
Lattice="-3.409 -3.422 -1.367 5.805 -5.368 -1.038 -2.470 2.107 5.922" Properties=species:S:1:pos:R:3 pbc="T T T"
F -4.175 -1.327 3.408
F -2.412 -2.654 0.233
Bi 0.000 0.000 0.000
F -0.404 -4.814 2.734
F 0.330 -1.870 0.783
F -0.058 -5.788 -1.028
K -1.677 -2.360 2.824
F 2.338 -4.030 3.283
F 4.101 -5.357 0.109
K 1.603 -4.324 0.693
F -0.016 -0.897 4.545
```

Summary:
* crystal system: monoclinic
* ΔE_f (raw): -2.092 eV per atom
* ΔE to the lowest computed polymorph: 0.0000 eV/atom

***

Entry from the Alexandria database: crystalline EuSnAu2 at its relaxed geometry (PBE-GGA).

extended XYZ file:
```
4
Lattice="-2.371 1.260 -2.640 -2.925 -1.088 2.107 -0.104 6.040 2.975" Properties=species:S:1:pos:R:3 pbc="T T T"
Eu -2.700 3.105 1.221
Au -0.024 1.418 0.698
Sn -2.648 0.086 -0.267
Au -0.080 4.622 2.277
```

Summary:
* crystal system: tetragonal
* E_form: -0.494 eV/atom

***

Entry from the Alexandria database: crystalline Ba3Li3Cd at its relaxed geometry (PBE-GGA).

extended XYZ file:
```
14
Lattice="5.338 0.000 0.000 -2.669 6.364 0.000 0.000 0.000 15.432" Properties=species:S:1:pos:R:3 pbc="T T T"
Li 0.000 2.181 3.858
Li 2.669 4.183 11.574
Li 2.669 5.702 14.154
Li 0.000 0.662 6.438
Ba 2.669 3.424 1.549
Ba 0.000 2.939 9.265
Ba 0.000 6.029 3.858
Li 2.669 5.702 8.994
Li 0.000 0.662 1.278
Ba 2.669 3.424 6.168
Cd 2.669 0.000 7.716
Ba 2.669 0.335 11.574
Cd 2.669 0.000 0.000
Ba 0.000 2.939 13.884
```

Summary:
* crystal system: orthorhombic
* E_form: -0.065 eV/atom

***

Entry from the Alexandria database: crystalline Cs2Na2Zn at its relaxed geometry (PBE-GGA).

extended XYZ file:
```
10
Lattice="11.058 0.000 0.000 0.000 11.058 0.000 0.000 0.000 5.526" Properties=species:S:1:pos:R:3 pbc="T T T"
Cs 3.549 9.078 0.000
Zn 0.000 0.000 0.000
Na 1.302 6.831 2.763
Na 4.227 1.302 2.763
Cs 1.980 3.549 0.000
Na 9.756 4.227 2.763
Na 6.831 9.756 2.763
Cs 7.509 1.980 0.000
Zn 5.529 5.529 0.000
Cs 9.078 7.509 0.000
```

Summary:
* crystal system: tetragonal
* E_form: 0.236 eV/atom
* ΔE to the lowest computed polymorph: 0.0926 eV/atom

***

Entry from the Alexandria database: crystalline AlCo3I at its relaxed geometry (PBE-GGA).

extended XYZ file:
```
5
Lattice="-0.364 -3.839 -2.518 -0.003 -2.526 3.851 -4.592 0.306 0.197" Properties=species:S:1:pos:R:3 pbc="T T T"
Al -2.479 -3.030 0.765
Co -2.296 0.153 0.099
Co -0.001 -1.263 1.926
I 0.000 0.000 0.000
Co -0.182 -1.920 -1.259
```

Summary:
* crystal system: cubic
* ΔE_f (raw): 1.361 eV per atom
* ΔE to the lowest computed polymorph: 0.3088 eV/atom

***

Entry from the Alexandria database: crystalline Pr4NiAu at its relaxed geometry (PBE-GGA).

extended XYZ file:
```
12
Lattice="-5.947 0.020 2.267 0.466 -7.088 1.287 5.104 1.444 6.104" Properties=species:S:1:pos:R:3 pbc="T T T"
Pr 1.179 -0.493 6.985
Au -0.876 -1.690 1.130
Au 0.499 -3.933 8.527
Ni -2.039 -4.658 5.455
Pr -1.556 -5.131 2.672
Pr -4.512 0.393 3.889
Pr -4.281 -3.119 4.527
Pr 3.904 -2.504 5.130
Pr 4.135 -6.016 5.768
Pr 0.793 -4.453 5.560
Ni 1.662 -0.966 4.202
Pr -1.169 -1.171 4.097
```

Summary:
* crystal system: monoclinic
* E_form: -0.332 eV/atom
* ΔE to the lowest computed polymorph: 0.0000 eV/atom

***

Entry from the Alexandria database: crystalline HgRhCl at its relaxed geometry (PBE-GGA).

extended XYZ file:
```
3
Lattice="3.375 0.000 0.000 -1.688 2.923 0.000 0.000 0.000 6.103" Properties=species:S:1:pos:R:3 pbc="T T T"
Rh 0.000 1.949 4.203
Cl 0.000 0.000 5.788
Hg 1.688 0.974 2.215
```

Summary:
* crystal system: trigonal
* ΔE_f (raw): 0.138 eV per atom
* ΔE to the lowest computed polymorph: 0.0000 eV/atom

***

Entry from the Alexandria database: crystalline Ac3TiN4 at its relaxed geometry (PBE-GGA).

extended XYZ file:
```
32
Lattice="-6.943 -0.681 3.731 3.916 -1.735 6.971 0.239 8.727 2.038" Properties=species:S:1:pos:R:3 pbc="T T T"
N 0.351 4.608 9.805
Ac -2.448 7.672 5.513
Ac -3.953 -1.640 8.842
Ti -1.135 -0.045 10.186
N -4.211 5.573 6.205
N -4.469 4.865 9.270
N 1.681 1.446 3.470
N -5.386 3.424 4.140
Ac -2.993 0.913 6.299
N -0.271 -0.687 4.520
Ac -1.144 1.973 1.545
N -2.517 6.997 8.220
N 2.698 6.565 9.459
N -3.139 1.703 2.935
Ac -1.645 4.338 11.196
N -5.487 -0.255 3.281
Ac -2.551 3.909 4.634
Ac 0.204 5.397 6.441
Ti 0.414 1.147 4.898
N -0.171 2.992 5.379
N 2.597 2.887 8.600
N -2.007 0.378 8.475
Ac -0.341 -1.361 7.227
Ti -1.654 6.356 2.554
N -2.618 3.319 7.361
Ac 1.061 4.188 3.019
Ti -3.203 5.163 7.842
Ac -0.238 2.402 8.106
N -0.782 5.933 4.265
N 1.423 0.737 6.535
Ac -3.850 2.123 9.721
Ac 1.164 7.951 3.898
```

Summary:
* crystal system: orthorhombic
* ΔE_f (raw): -1.094 eV per atom
* ΔE to the lowest computed polymorph: 0.0809 eV/atom

***

Entry from the Alexandria database: crystalline CeTiGa at its relaxed geometry (PBE-GGA).

extended XYZ file:
```
3
Lattice="-1.702 -2.228 1.549 3.924 -1.349 2.371 -2.826 3.409 1.800" Properties=species:S:1:pos:R:3 pbc="T T T"
Ga -0.282 -0.369 0.257
Ti 1.390 -0.136 2.440
Ce -1.710 0.337 3.023
```

Summary:
* crystal system: hexagonal
* E_form: -0.127 eV/atom
* ΔE to the lowest computed polymorph: 0.1414 eV/atom

***

Entry from the Alexandria database: crystalline TmAs2Au at its relaxed geometry (PBE-GGA).

extended XYZ file:
```
4
Lattice="3.818 0.000 0.000 0.000 4.554 0.000 0.000 0.000 4.554" Properties=species:S:1:pos:R:3 pbc="T T T"
As 0.000 0.000 2.277
Au 1.909 0.000 0.000
Tm 1.909 2.277 2.277
As 0.000 2.277 0.000
```

Summary:
* crystal system: tetragonal
* E_form: -0.598 eV/atom

***

Entry from the Alexandria database: crystalline BeNiRu2 at its relaxed geometry (PBE-GGA).

extended XYZ file:
```
4
Lattice="2.594 -0.034 0.000 -1.068 2.364 0.000 0.000 0.000 8.030" Properties=species:S:1:pos:R:3 pbc="T T T"
Ni 0.763 1.165 6.023
Ru 0.000 0.000 3.890
Ru 0.000 0.000 0.125
Be 0.763 1.165 2.008
```

Summary:
* crystal system: orthorhombic
* E_form: 0.205 eV/atom

***

Entry from the Alexandria database: crystalline MnVI6 at its relaxed geometry (PBE-GGA).

extended XYZ file:
```
8
Lattice="-1.118 -0.354 -7.378 7.272 -0.861 1.477 -1.904 -6.246 1.446" Properties=species:S:1:pos:R:3 pbc="T T T"
Mn 0.000 0.000 0.000
I -1.964 -4.703 -4.182
I 4.210 -1.992 -4.103
I 3.790 -5.051 1.892
I 6.214 -2.758 -0.273
V -0.952 -3.123 0.723
I 0.460 -2.410 -6.346
I 0.040 -5.469 -0.351
```

Summary:
* crystal system: monoclinic
* ΔE_f (raw): -0.390 eV per atom

***

Entry from the Alexandria database: crystalline Te2WI at its relaxed geometry (PBE-GGA).

extended XYZ file:
```
4
Lattice="0.000 3.628 3.628 3.628 0.000 3.628 3.628 3.628 0.000" Properties=species:S:1:pos:R:3 pbc="T T T"
I 0.000 0.000 0.000
Te 5.442 5.442 5.442
W 3.628 3.628 3.628
Te 1.814 1.814 1.814
```

Summary:
* crystal system: cubic
* ΔE_f (raw): 1.083 eV per atom
* ΔE to the lowest computed polymorph: 0.9498 eV/atom

***

Number 1: E_tot -0.3052 Ry/atom. Number 2: E_tot -0.2944 Ry/atom. Number 3: E_tot -0.4191 Ry/atom. Number 4: E_tot -0.1353 Ry/atom. Number 5: E_tot -0.0652 Ry/atom. Number 6: E_tot -0.2911 Ry/atom. Number 7: E_tot -0.3696 Ry/atom. Number 8: E_tot -0.2226 Ry/atom. Number 9: E_tot -0.5721 Ry/atom. Number 10: E_tot -0.4223 Ry/atom. Number 11: E_tot -0.3572 Ry/atom. Number 12: E_tot -0.5005 Ry/atom. Number 13: E_tot -0.2822 Ry/atom. Number 14: E_tot -0.3024 Ry/atom.